{
  "formula": "BeAs2Br",
  "functional": "GGA-PBE",
  "state": "optimized geometry",
  "dos_at_fermi_per_ev_atom": 0.450,
  "raw_formation_energy_ev_per_fu": -0.2,
  "magmom_total_mub_per_cell": 0.00,
  "e_tot_ev_per_atom": -3.72,
  "lattice_angstrom": [[3.606, -0.598, 0.309], [2.448, 2.714, 0.309], [1.535, 0.536, 8.811]],
  "species": ["Be", "As", "As", "Br"],
  "fractional_positions": [[0.592, 0.592, 0.518], [0.012, 0.012, 0.895], [0.731, 0.731, 0.725], [0.164, 0.164, 0.362]]
}